Record 1
# Na3CoRh

A relaxed structure of Na3CoRh (PBE-GGA, the Alexandria database).

Calculated values
Energy relative to the elements, eV per formula unit: 6.1
ρ, g/cm3: 2.56
Distance to the lowest polymorph of the same formula, meV per atom: 0
Symmetry: No. 221

a = 5.3069 Å, b = 5.3069 Å, c = 5.3069 Å
α = 90.00°, β = 90.00°, γ = 90.00°
Sites, in units of the cell vectors:
1 Na 0.0000 0.0000 0.5000
2 Na 0.0000 0.5000 0.0000
3 Na 0.5000 0.0000 0.0000
4 Co 0.5000 0.5000 0.5000
5 Rh 0.0000 0.0000 0.0000

---

Record 2
# Ac2DyEr

A relaxed structure of Ac2DyEr (PBE-GGA, the Alexandria database).

Calculated values
Energy relative to the elements, eV per formula unit: 0.3
ρ, g/cm3: 8.70
Distance to the lowest polymorph of the same formula, meV per atom: 29
Symmetry: No. 160

a = 12.2319 Å, b = 12.2319 Å, c = 12.2319 Å
α = 17.81°, β = 17.81°, γ = 17.81°
Sites, in units of the cell vectors:
1 Ac 0.0000 0.0000 0.0000
2 Ac 0.1656 0.1656 0.1656
3 Dy 0.5840 0.5840 0.5840
4 Er 0.4155 0.4155 0.4155

---

Record 3
# Zr3MnAg

A relaxed structure of Zr3MnAg (PBE-GGA, the Alexandria database).

Calculated values
Energy relative to the elements, eV per formula unit: 7.9
ρ, g/cm3: 5.53
Distance to the lowest polymorph of the same formula, meV per atom: 1211
Symmetry: No. 221

a = 5.0810 Å, b = 5.0810 Å, c = 5.0810 Å
α = 90.00°, β = 90.00°, γ = 90.00°
Sites, in units of the cell vectors:
1 Zr 0.0000 0.0000 0.5000
2 Zr 0.0000 0.5000 0.0000
3 Zr 0.5000 0.0000 0.0000
4 Mn 0.5000 0.5000 0.5000
5 Ag 0.0000 0.0000 0.0000

---

Record 4
# KHg2As

A relaxed structure of KHg2As (PBE-GGA, the Alexandria database).

Calculated values
Energy relative to the elements, eV per formula unit: -0.3
ρ, g/cm3: 7.86
Symmetry: No. 47

a = 3.4046 Å, b = 5.1654 Å, c = 6.1909 Å
α = 90.00°, β = 90.00°, γ = 90.00°
Sites, in units of the cell vectors:
1 K 0.0000 0.0000 0.0000
2 Hg 0.5000 0.5000 0.2545
3 Hg 0.5000 0.5000 0.7455
4 As 0.5000 0.0000 0.5000